No. 1
This record from the Alexandria database describes an optimized crystal structure of Y6Al2Ag. The functional is PBE.

Space-group type: Immm
Crystal system: orthorhombic
Size of the total moment (μB per formula unit): 0.0
V (Å³/atom): 27.8
Energy of formation (meV per atom): -243

Cell lengths 8.667, 8.667, 8.667 Å; angles 106.48, 111.96, 110.02 degrees
Element x y z (fractional)
1 Al 0.641 0.000 0.641
2 Al 0.500 0.624 0.124
3 Al 0.500 0.376 0.876
4 Al 0.359 0.000 0.359
5 Y 0.290 0.615 0.325
6 Y 0.290 0.965 0.675
7 Y 0.195 0.748 0.944
8 Y 0.805 0.748 0.553
9 Y 0.446 0.268 0.178
10 Y 0.909 0.732 0.178
11 Y 0.805 0.252 0.056
12 Y 0.091 0.268 0.822
13 Y 0.710 0.385 0.675
14 Y 0.554 0.732 0.822
15 Y 0.195 0.252 0.447
16 Y 0.710 0.035 0.325
17 Ag 0.000 0.500 0.500
18 Ag 0.000 0.000 0.000

---

No. 2
This record from the Alexandria database describes an optimized crystal structure of Y3Al2Ag7. The functional is PBE.

Space-group type: I4/mmm
Crystal system: tetragonal
Size of the total moment (μB per formula unit): 0.0
V (Å³/atom): 21.2
Energy of formation (meV per atom): -191

Cell lengths 4.180, 4.180, 14.880 Å; angles 98.07, 98.07, 90.00 degrees
Element x y z (fractional)
1 Ag 0.079 0.579 0.158
2 Ag 0.776 0.776 0.551
3 Ag 0.421 0.921 0.842
4 Ag 0.921 0.421 0.842
5 Ag 0.579 0.079 0.158
6 Ag 0.224 0.224 0.449
7 Ag 0.000 0.000 0.000
8 Y 0.500 0.500 0.000
9 Y 0.328 0.328 0.655
10 Y 0.672 0.672 0.345
11 Al 0.134 0.134 0.269
12 Al 0.866 0.866 0.731

---

No. 3
This record from the Alexandria database describes an optimized crystal structure of YAl2Ag2. The functional is PBE.

Space-group type: C2/c
Crystal system: monoclinic
Size of the total moment (μB per formula unit): 0.0
V (Å³/atom): 21.1
Energy of formation (meV per atom): -187

Cell lengths 5.824, 6.091, 7.373 Å; angles 79.08, 66.74, 61.46 degrees
Element x y z (fractional)
1 Ag 0.162 0.176 0.250
2 Ag 0.412 0.676 0.750
3 Ag 0.838 0.824 0.750
4 Ag 0.588 0.324 0.250
5 Y 0.126 0.249 0.750
6 Y 0.874 0.751 0.250
7 Al 0.473 0.750 0.052
8 Al 0.723 0.250 0.552
9 Al 0.277 0.750 0.448
10 Al 0.527 0.250 0.948

---

No. 4
This record from the Alexandria database describes an optimized crystal structure of Y4Al12Ag. The functional is PBE.

Space-group type: Im-3m
Crystal system: cubic
Size of the total moment (μB per formula unit): 0.0
V (Å³/atom): 19.4
Energy of formation (meV per atom): -428

Cell lengths 7.545, 7.545, 7.545 Å; angles 109.47, 109.47, 109.47 degrees
Element x y z (fractional)
1 Al 0.000 0.302 0.302
2 Al 0.698 0.698 0.000
3 Al 0.500 0.750 0.250
4 Al 0.000 0.698 0.698
5 Al 0.750 0.250 0.500
6 Al 0.698 0.000 0.698
7 Al 0.302 0.302 0.000
8 Al 0.250 0.500 0.750
9 Al 0.302 0.000 0.302
10 Al 0.250 0.750 0.500
11 Al 0.750 0.500 0.250
12 Al 0.500 0.250 0.750
13 Ag 0.000 0.000 0.000
14 Y 0.500 0.000 0.000
15 Y 0.000 0.000 0.500
16 Y 0.000 0.500 0.000
17 Y 0.500 0.500 0.500

---

No. 5
This record from the Alexandria database describes an optimized crystal structure of Y2Al3Ag5. The functional is PBE.

Space-group type: Ibam
Crystal system: orthorhombic
Size of the total moment (μB per formula unit): 0.0
V (Å³/atom): 20.3
Energy of formation (meV per atom): -256

Cell lengths 5.738, 8.990, 8.990 Å; angles 72.00, 71.39, 71.39 degrees
Element x y z (fractional)
1 Ag 0.750 0.500 0.500
2 Ag 0.449 0.801 0.801
3 Ag 0.949 0.801 0.801
4 Ag 0.921 0.890 0.268
5 Ag 0.051 0.199 0.199
6 Ag 0.079 0.110 0.732
7 Ag 0.551 0.199 0.199
8 Ag 0.250 0.500 0.500
9 Ag 0.421 0.268 0.890
10 Ag 0.579 0.732 0.110
11 Y 0.153 0.569 0.124
12 Y 0.653 0.124 0.569
13 Y 0.847 0.431 0.876
14 Y 0.347 0.876 0.431
15 Al 0.152 0.260 0.435
16 Al 0.250 0.000 0.000
17 Al 0.848 0.740 0.565
18 Al 0.652 0.435 0.260
19 Al 0.750 0.000 0.000
20 Al 0.348 0.565 0.740

---

No. 6
This record from the Alexandria database describes an optimized crystal structure of Y2AlAg6. The functional is PBE.

Space-group type: P-3m1
Crystal system: trigonal
Size of the total moment (μB per formula unit): 0.0
V (Å³/atom): 20.7
Energy of formation (meV per atom): -223

Cell lengths 5.917, 6.035, 6.035 Å; angles 60.01, 90.00, 90.00 degrees
Element x y z (fractional)
1 Ag 0.319 0.177 0.177
2 Ag 0.681 0.823 0.354
3 Ag 0.681 0.354 0.823
4 Ag 0.319 0.646 0.177
5 Ag 0.681 0.823 0.823
6 Ag 0.319 0.177 0.646
7 Al 0.000 0.000 0.000
8 Y 0.148 0.667 0.667
9 Y 0.852 0.333 0.333

---

No. 7
This record from the Alexandria database describes an optimized crystal structure of YAlAg2. The functional is PBE.

Space-group type: R3m
Crystal system: trigonal
Size of the total moment (μB per formula unit): 0.0
V (Å³/atom): 21.3
Energy of formation (meV per atom): 29

Cell lengths 9.489, 9.489, 9.489 Å; angles 19.75, 19.75, 19.75 degrees
Element x y z (fractional)
1 Ag 0.247 0.247 0.247
2 Ag 0.994 0.994 0.994
3 Al 0.509 0.509 0.509
4 Y 0.751 0.751 0.751

---

No. 8
This record from the Alexandria database describes an optimized crystal structure of Y2AlAg2. The functional is PBE.

Space-group type: P4/mbm
Crystal system: tetragonal
Size of the total moment (μB per formula unit): 0.0
V (Å³/atom): 23.3
Energy of formation (meV per atom): -307

Cell lengths 7.710, 7.710, 3.927 Å; angles 90.00, 90.00, 90.00 degrees
Element x y z (fractional)
1 Ag 0.130 0.370 0.000
2 Ag 0.370 0.870 0.000
3 Ag 0.630 0.130 0.000
4 Ag 0.870 0.630 0.000
5 Y 0.328 0.172 0.500
6 Y 0.172 0.672 0.500
7 Y 0.828 0.328 0.500
8 Y 0.672 0.828 0.500
9 Al 0.000 0.000 0.000
10 Al 0.500 0.500 0.000

---

No. 9
This record from the Alexandria database describes an optimized crystal structure of YAlAg3. The functional is PBE.

ΔE to the lowest computed polymorph (eV per atom): 0.000
Space-group type: P2_1/m
Crystal system: monoclinic
Size of the total moment (μB per formula unit): 0.0
V (Å³/atom): 20.1
Energy of formation (meV per atom): -242

Cell lengths 4.528, 7.111, 6.466 Å; angles 74.94, 90.00, 90.00 degrees
Element x y z (fractional)
1 Ag 0.881 0.290 0.047
2 Ag 0.381 0.964 0.909
3 Ag 0.881 0.710 0.897
4 Ag 0.381 0.385 0.759
5 Ag 0.381 0.091 0.278
6 Ag 0.881 0.584 0.528
7 Y 0.381 0.538 0.214
8 Y 0.881 0.137 0.592
9 Al 0.881 0.896 0.204
10 Al 0.381 0.779 0.602

---

No. 10
This record from the Alexandria database describes an optimized crystal structure of Y2Al6Ag9. The functional is PBE.

Space-group type: P6/mmm
Crystal system: hexagonal
Size of the total moment (μB per formula unit): 0.0
V (Å³/atom): 20.8
Energy of formation (meV per atom): -97

Cell lengths 5.665, 5.665, 12.753 Å; angles 90.00, 90.00, 120.00 degrees
Element x y z (fractional)
1 Al 0.333 0.667 0.665
2 Al 0.333 0.667 0.335
3 Al 0.667 0.333 0.000
4 Al 0.667 0.333 0.665
5 Al 0.667 0.333 0.335
6 Al 0.333 0.667 0.000
7 Y 0.000 0.000 0.336
8 Y 0.000 0.000 0.664
9 Ag 0.500 0.000 0.168
10 Ag 0.000 0.500 0.832
11 Ag 0.500 0.000 0.500
12 Ag 0.500 0.500 0.500
13 Ag 0.500 0.500 0.832
14 Ag 0.000 0.500 0.500
15 Ag 0.500 0.000 0.832
16 Ag 0.500 0.500 0.168
17 Ag 0.000 0.500 0.168

---

No. 11
This record from the Alexandria database describes an optimized crystal structure of YAl6Ag6. The functional is PBE.

Space-group type: Immm
Crystal system: orthorhombic
Size of the total moment (μB per formula unit): 0.0
V (Å³/atom): 17.8
Energy of formation (meV per atom): -184

Cell lengths 5.391, 7.082, 7.082 Å; angles 79.99, 67.63, 67.63 degrees
Element x y z (fractional)
1 Ag 0.306 0.194 0.194
2 Ag 0.346 0.654 0.654
3 Ag 0.000 0.339 0.661
4 Ag 0.694 0.806 0.806
5 Ag 0.654 0.346 0.346
6 Ag 0.000 0.661 0.339
7 Y 0.000 0.000 0.000
8 Al 0.000 0.500 0.000
9 Al 0.500 0.500 0.000
10 Al 0.500 0.000 0.500
11 Al 0.000 0.000 0.500
12 Al 0.500 0.230 0.770
13 Al 0.500 0.770 0.230

---

No. 12
This record from the Alexandria database describes an optimized crystal structure of Y3Al6Ag20. The functional is PBE.

Space-group type: Fm-3m
Crystal system: cubic
Size of the total moment (μB per formula unit): 0.0
V (Å³/atom): 19.3
Energy of formation (meV per atom): -72

Cell lengths 9.249, 9.249, 9.249 Å; angles 60.00, 60.00, 60.00 degrees
Element x y z (fractional)
1 Ag 0.350 0.000 0.000
2 Ag 0.650 0.350 0.000
3 Ag 0.000 0.350 0.000
4 Ag 0.000 0.350 0.650
5 Ag 0.151 0.616 0.616
6 Ag 0.384 0.384 0.849
7 Ag 0.350 0.000 0.650
8 Ag 0.000 0.650 0.000
9 Ag 0.350 0.650 0.000
10 Ag 0.384 0.849 0.384
11 Ag 0.616 0.616 0.616
12 Ag 0.384 0.384 0.384
13 Ag 0.000 0.000 0.650
14 Ag 0.000 0.650 0.350
15 Ag 0.849 0.384 0.384
16 Ag 0.650 0.000 0.350
17 Ag 0.616 0.616 0.151
18 Ag 0.616 0.151 0.616
19 Ag 0.000 0.000 0.350
20 Ag 0.650 0.000 0.000
21 Al 0.263 0.737 0.263
22 Al 0.737 0.263 0.737
23 Al 0.263 0.263 0.737
24 Al 0.737 0.263 0.263
25 Al 0.737 0.737 0.263
26 Al 0.263 0.737 0.737
27 Y 0.750 0.750 0.750
28 Y 0.000 0.000 0.000
29 Y 0.250 0.250 0.250

---

The D(E_F) results, record by record, are as follows: 1.13, 0.59, 0.47, 0.16, 0.45, 0.49, 0.49, 0.90, 0.27, 0.40, 0.29, 0.47 states/eV per atom.